No. 1
# Sc2GaHgPt, relaxed, DFT PBE
# N(E_F)   5.22 states/eV per cell
# Energy of formation   478.4 meV/atom
data_Sc2GaHgPt
_cell_length_a 5.201
_cell_length_b 5.201
_cell_length_c 5.016
_cell_angle_alpha 90.00
_cell_angle_beta 90.00
_cell_angle_gamma 90.00
_space_group_name_H-M_alt 'P 1'
_space_group_IT_number 1
_space_group_name_Hall 'P 1'
loop_
_atom_site_label
_atom_site_fract_x
_atom_site_fract_y
_atom_site_fract_z
Sc1 0.000 0.500 0.000
Sc2 0.500 0.000 0.000
Ga1 0.000 0.000 0.500
Hg1 0.500 0.500 0.000
Pt1 0.500 0.500 0.500

No. 2
# Sm2Ga3HgPt4, relaxed, DFT PBE
# N(E_F)   4.37 states/eV per cell
# Energy of formation   -842.4 meV/atom
data_Sm2Ga3HgPt4
_cell_length_a 4.109
_cell_length_b 4.109
_cell_length_c 11.753
_cell_angle_alpha 90.00
_cell_angle_beta 90.00
_cell_angle_gamma 90.00
_space_group_name_H-M_alt 'P 1'
_space_group_IT_number 1
_space_group_name_Hall 'P 1'
loop_
_atom_site_label
_atom_site_fract_x
_atom_site_fract_y
_atom_site_fract_z
Sm1 0.000 0.500 0.248
Sm2 0.500 0.000 0.752
Ga1 0.000 0.500 0.873
Ga2 0.500 0.000 0.127
Ga3 0.500 0.500 0.500
Hg1 0.000 0.000 0.500
Pt1 0.000 0.000 0.000
Pt2 0.000 0.500 0.664
Pt3 0.500 0.000 0.336
Pt4 0.500 0.500 0.000

No. 3
# Ga2SnHgPt, relaxed, DFT PBE
# N(E_F)   2.99 states/eV per cell
# Energy of formation   857.5 meV/atom
data_Ga2SnHgPt
_cell_length_a 5.228
_cell_length_b 5.228
_cell_length_c 5.329
_cell_angle_alpha 90.00
_cell_angle_beta 90.00
_cell_angle_gamma 90.00
_space_group_name_H-M_alt 'P 1'
_space_group_IT_number 1
_space_group_name_Hall 'P 1'
loop_
_atom_site_label
_atom_site_fract_x
_atom_site_fract_y
_atom_site_fract_z
Ga1 0.000 0.500 0.000
Ga2 0.500 0.000 0.000
Sn1 0.000 0.000 0.000
Hg1 0.000 0.000 0.500
Pt1 0.500 0.500 0.500

No. 4
# Ga2SnHgPt, relaxed, DFT PBE
# N(E_F)   2.12 states/eV per cell
# Energy of formation   -152.4 meV/atom
data_Ga2SnHgPt
_cell_length_a 4.819
_cell_length_b 4.819
_cell_length_c 5.472
_cell_angle_alpha 90.00
_cell_angle_beta 90.00
_cell_angle_gamma 90.00
_space_group_name_H-M_alt 'P 1'
_space_group_IT_number 1
_space_group_name_Hall 'P 1'
loop_
_atom_site_label
_atom_site_fract_x
_atom_site_fract_y
_atom_site_fract_z
Ga1 0.000 0.500 0.000
Ga2 0.500 0.000 0.000
Sn1 0.000 0.000 0.500
Hg1 0.500 0.500 0.500
Pt1 0.000 0.000 0.000

No. 5
# Sr2Ga4HgPt3, relaxed, DFT PBE
# N(E_F)   5.14 states/eV per cell
# Energy of formation   -719.4 meV/atom
data_Sr2Ga4HgPt3
_cell_length_a 4.472
_cell_length_b 4.472
_cell_length_c 10.605
_cell_angle_alpha 90.00
_cell_angle_beta 90.00
_cell_angle_gamma 90.00
_space_group_name_H-M_alt 'P 1'
_space_group_IT_number 1
_space_group_name_Hall 'P 1'
loop_
_atom_site_label
_atom_site_fract_x
_atom_site_fract_y
_atom_site_fract_z
Sr1 0.000 0.500 0.245
Sr2 0.500 0.000 0.755
Ga1 0.000 0.000 0.000
Ga2 0.000 0.500 0.639
Ga3 0.500 0.000 0.361
Ga4 0.500 0.500 0.000
Hg1 0.000 0.000 0.500
Pt1 0.000 0.500 0.878
Pt2 0.500 0.000 0.122
Pt3 0.500 0.500 0.500

No. 6
# Sr2GaHgPt, relaxed, DFT PBE
# N(E_F)   2.17 states/eV per cell
# Energy of formation   -586.3 meV/atom
data_Sr2GaHgPt
_cell_length_a 5.904
_cell_length_b 5.904
_cell_length_c 4.798
_cell_angle_alpha 90.00
_cell_angle_beta 90.00
_cell_angle_gamma 90.00
_space_group_name_H-M_alt 'P 1'
_space_group_IT_number 1
_space_group_name_Hall 'P 1'
loop_
_atom_site_label
_atom_site_fract_x
_atom_site_fract_y
_atom_site_fract_z
Sr1 0.000 0.500 0.000
Sr2 0.500 0.000 0.000
Ga1 0.000 0.000 0.500
Hg1 0.500 0.500 0.500
Pt1 0.000 0.000 0.000

No. 7
# Ta2GaHgPt, relaxed, DFT PBE
# N(E_F)   3.48 states/eV per cell
# Energy of formation   835.3 meV/atom
data_Ta2GaHgPt
_cell_length_a 4.983
_cell_length_b 4.983
_cell_length_c 4.634
_cell_angle_alpha 90.00
_cell_angle_beta 90.00
_cell_angle_gamma 90.00
_space_group_name_H-M_alt 'P 1'
_space_group_IT_number 1
_space_group_name_Hall 'P 1'
loop_
_atom_site_label
_atom_site_fract_x
_atom_site_fract_y
_atom_site_fract_z
Ta1 0.000 0.500 0.000
Ta2 0.500 0.000 0.000
Ga1 0.000 0.000 0.500
Hg1 0.500 0.500 0.500
Pt1 0.000 0.000 0.000

No. 8
# TbGaHgPt, relaxed, DFT PBE
# N(E_F)   2.06 states/eV per cell
# Energy of formation   -589.2 meV/atom
data_TbGaHgPt
_cell_length_a 4.878
_cell_length_b 4.878
_cell_length_c 4.878
_cell_angle_alpha 60.00
_cell_angle_beta 60.00
_cell_angle_gamma 60.00
_space_group_name_H-M_alt 'P 1'
_space_group_IT_number 1
_space_group_name_Hall 'P 1'
loop_
_atom_site_label
_atom_site_fract_x
_atom_site_fract_y
_atom_site_fract_z
Tb1 0.000 0.000 0.000
Ga1 0.500 0.500 0.500
Hg1 0.250 0.250 0.250
Pt1 0.750 0.750 0.750

Number 1: M_tot 0.00 μB per cell. Number 2: M_tot 0.00 μB per cell. Number 3: M_tot 0.00 μB per cell. Number 4: M_tot 0.00 μB per cell. Number 5: M_tot 0.00 μB per cell. Number 6: M_tot 0.00 μB per cell. Number 7: M_tot 0.00 μB per cell. Number 8: M_tot 0.00 μB per cell.